Compound: HgGeSO
Source: OQMD
Functional: GGA-PBE
Structure: relaxed

Structure (POSCAR):
```
HgGeSO
1.0
5.954 0.000 0.000
0.000 9.452 0.000
0.000 0.000 5.832
O S Ge Hg
4 4 4 4
direct
0.986 0.874 0.571
0.514 0.874 0.071
0.014 0.126 0.071
0.486 0.126 0.571
0.053 0.661 0.103
0.553 0.339 0.103
0.947 0.339 0.603
0.447 0.661 0.603
0.964 0.321 0.041
0.536 0.321 0.541
0.036 0.679 0.541
0.464 0.679 0.041
0.042 0.097 0.536
0.542 0.903 0.536
0.458 0.097 0.036
0.958 0.903 0.036
```

Calculated values
- V (Å³/atom) = 20.51
- electronic total energy (eV/cell) = -61.6
- space-group type = Pca2_1
- relative energy among the computed polymorphs (meV/atom) = 338.7